--- P ---
A plane-wave DFT calculation with PBE-GGA was carried out for an optimized crystal structure of YPb2Cl.

Properties
Crystal system: monoclinic

abc: 3.842 3.896 9.082
angles: 90.00 101.84 90.00
Element x y z (fractional)
Y 0.000 0.000 0.000
Pb 0.396 0.500 0.785
Pb 0.798 0.000 0.583
Cl 0.099 0.500 0.204

--- Q ---
A plane-wave DFT calculation with PBE-GGA was carried out for an optimized crystal structure of YPb2Cl.

Properties
Crystal system: orthorhombic

abc: 8.016 8.016 8.016
angles: 155.39 146.51 42.00
Element x y z (fractional)
Y 0.000 0.000 0.000
Pb 0.198 0.698 0.500
Pb 0.802 0.302 0.500
Cl 0.500 0.500 0.000

The most stable arrangement is P, and the next structure is 0.040 eV/atom less stable.